No. 1
Material: Tl2HgRuPt
Method: DFT, PBE
State: relaxed

Structure (extended XYZ):
```
5
Lattice="5.292 0.000 0.000 0.000 5.292 0.000 0.000 0.000 5.155" Properties=species:S:1:pos:R:3 pbc="T T T"
Tl 0.000 2.646 0.000
Tl 2.646 0.000 0.000
Hg 0.000 0.000 2.577
Ru 2.646 2.646 2.577
Pt 2.646 2.646 0.000
```

Properties
Space group: No. 123
ΔE_f, eV per atom: 0.714
Size of the total moment, μB/cell: 2.88



No. 2
Material: ZnHgRu2Pt
Method: DFT, PBE
State: relaxed

Structure (extended XYZ):
```
5
Lattice="4.792 0.000 0.000 0.000 4.792 0.000 0.000 0.000 4.719" Properties=species:S:1:pos:R:3 pbc="T T T"
Zn 0.000 0.000 0.000
Hg 2.396 2.396 0.000
Ru 0.000 2.396 2.359
Ru 2.396 0.000 2.359
Pt 0.000 0.000 2.359
```

Properties
Space group: No. 123
Polymorph energy (0 for the lowest one), meV/atom: 0
ΔE_f, eV per atom: 1.229
Size of the total moment, μB/cell: 0.00